The following is a PBE calculation of a relaxed structure of Na12Sr7Ir, from Alexandria via LeMat-Bulk.

Computed properties:
DOS at the Fermi energy in states/eV per cell: 14.12
Space-group type: R-3m
Crystal system: trigonal
Volume in Å³/atom: 44.62
Energy of formation in eV/atom: 0.09

Geometry as extended XYZ:
```
20
Lattice="6.8832 0.0000 -1.2513 -3.3797 10.5102 -5.5531 -0.1238 0.0000 12.3576" Properties=species:S:1:pos:R:3 pbc="T T T"
Na -1.3758 6.2607 -1.0587
Na -0.0631 2.0151 6.1814
Na 1.6737 6.7037 -4.2343
Na 3.0100 0.0032 3.9221
Na 2.0001 4.2455 4.4927
Na -1.6727 6.7005 4.2398
Na 5.0524 3.8097 1.3133
Na 1.3796 6.2647 1.0604
Na 0.3697 10.5070 1.6311
Na 1.7060 3.8065 9.7875
Na 3.4429 8.4951 -0.6282
Na 4.7555 4.2496 6.6119
Sr -1.8896 8.0836 -4.3966
Sr 6.1457 0.0029 1.7324
Sr 1.8905 8.0807 4.4016
Sr 3.4416 0.0000 -0.6256
Sr 1.4892 2.4295 1.1515
Sr -2.7660 10.5073 3.8207
Sr 5.2693 2.4266 9.9498
Ir 0.0000 0.0000 0.0000
```


The following is a PBE calculation of a relaxed structure of GaPCl2O, from Alexandria via LeMat-Bulk.

Computed properties:
DOS at the Fermi energy in states/eV per cell: 2.19
Space-group type: P4/mmm
Energy relative to the elements, uncorrected in eV/atom: 0.53
Crystal system: tetragonal
Energy above the lowest structure with this stoichiometry in eV per atom: 0.6161
Volume in Å³/atom: 22.88

Geometry as extended XYZ:
```
5
Lattice="4.7577 0.0000 0.0000 0.0000 4.7577 0.0000 0.0000 0.0000 5.0537" Properties=species:S:1:pos:R:3 pbc="T T T"
P 0.0000 0.0000 2.5268
O 2.3789 2.3789 2.5268
Ga 0.0000 0.0000 0.0000
Cl 0.0000 2.3789 0.0000
Cl 2.3789 0.0000 0.0000
```


The following is a PBE calculation of a relaxed structure of TaRh5, from Alexandria via LeMat-Bulk.

Computed properties:
DOS at the Fermi energy in states/eV per cell: 6.68
Space-group type: Cm
Crystal system: monoclinic
Volume in Å³/atom: 14.76
Energy of formation in eV/atom: -0.27

Geometry as extended XYZ:
```
6
Lattice="1.3929 5.0540 -0.0032 -1.3929 5.0540 -0.0032 0.0000 1.6400 6.2893" Properties=species:S:1:pos:R:3 pbc="T T T"
Ta 0.0000 4.3651 5.9505
Rh 0.0000 11.7381 6.2783
Rh 0.0000 6.6594 1.6925
Rh 0.0000 3.9064 2.1079
Rh 0.0000 10.5297 3.8582
Rh 0.0000 7.8359 4.1972
```


The following is a PBE calculation of a relaxed structure of K2AsF6, from Alexandria via LeMat-Bulk.

Computed properties:
DOS at the Fermi energy in states/eV per cell: 2.75
Space-group type: Fm-3m
Energy relative to the elements, uncorrected in eV/atom: -2.43
Crystal system: cubic
Volume in Å³/atom: 16.94

Geometry as extended XYZ:
```
9
Lattice="-3.3761 -2.0313 -4.5191 -4.5729 -3.7154 1.1098 -5.6450 1.9235 -0.6247" Properties=species:S:1:pos:R:3 pbc="T T T"
K -3.3978 -0.9560 -1.0084
K -10.1961 -2.8672 -3.0256
As -6.7970 -1.9116 -2.0170
F -6.2710 -0.1755 -1.3858
F -5.7902 -2.7310 -0.6015
F -7.8037 -1.0922 -3.4325
F -5.2481 -1.9682 -3.1513
F -8.3458 -1.8550 -0.8828
F -7.3229 -3.6477 -2.6483
```


The following is a PBE calculation of a relaxed structure of Th2BeGa4Cu3, from Alexandria via LeMat-Bulk.

Computed properties:
DOS at the Fermi energy in states/eV per cell: 5.27
Space-group type: P-4m2
Crystal system: tetragonal
Volume in Å³/atom: 17.67
Energy of formation in eV/atom: -0.42

Geometry as extended XYZ:
```
10
Lattice="4.2044 0.0000 0.0000 0.0000 4.2044 0.0000 0.0000 0.0000 9.9946" Properties=species:S:1:pos:R:3 pbc="T T T"
Th 2.1022 0.0000 2.5860
Th 0.0000 2.1022 7.4086
Be 2.1022 2.1022 4.9973
Ga 2.1022 2.1022 0.0000
Ga 0.0000 0.0000 0.0000
Ga 2.1022 0.0000 6.2261
Ga 0.0000 2.1022 3.7685
Cu 0.0000 0.0000 4.9973
Cu 2.1022 0.0000 8.6517
Cu 0.0000 2.1022 1.3429
```


The following is a PBE calculation of a relaxed structure of Cr2CuSi, from Alexandria via LeMat-Bulk.

Computed properties:
DOS at the Fermi energy in states/eV per cell: 3.13
Space-group type: C2/m
Energy relative to the elements, uncorrected in eV/atom: 0.04
Crystal system: monoclinic
Volume in Å³/atom: 11.74

Geometry as extended XYZ:
```
4
Lattice="-2.3721 -0.8435 4.4796 -0.3166 -3.2380 -3.2285 1.2443 -1.7289 1.3255" Properties=species:S:1:pos:R:3 pbc="T T T"
Cr 0.0000 0.0000 0.0000
Cr -0.5639 -1.2862 2.9025
Cu 0.4638 -2.4835 -0.9515
Si -1.3443 -2.0407 0.6255
```


The following is a PBE calculation of a relaxed structure of SiHg2F5, from Alexandria via LeMat-Bulk.

Computed properties:
DOS at the Fermi energy in states/eV per cell: 1.87
Space-group type: Cm
Energy relative to the elements, uncorrected in eV/atom: -2.26
Crystal system: monoclinic
Energy above the lowest structure with this stoichiometry in eV per atom: 0.0314
Volume in Å³/atom: 20.41

Geometry as extended XYZ:
```
8
Lattice="-4.9658 1.7378 3.2893 -2.9297 -3.3001 4.3642 7.1253 2.8689 -0.1227" Properties=species:S:1:pos:R:3 pbc="T T T"
Si -0.9226 1.2108 7.3529
Hg -0.1359 -0.7907 3.7249
Hg -1.1631 1.7258 3.1930
F -4.0768 0.7551 4.0021
F 5.7413 2.5179 0.8478
F 0.2630 1.4311 6.1496
F -3.0702 -1.7994 4.5211
F -1.9042 0.5515 6.2104
```


The following is a PBE calculation of a relaxed structure of TaAlRe2, from Alexandria via LeMat-Bulk.

Computed properties:
DOS at the Fermi energy in states/eV per cell: 4.50
Space-group type: P4/mmm
Crystal system: tetragonal
Volume in Å³/atom: 15.51
Energy of formation in eV/atom: -0.21

Geometry as extended XYZ:
```
4
Lattice="-1.5059 1.4080 -2.4569 -1.9191 -2.5536 -0.2871 -3.9151 2.5107 3.8383" Properties=species:S:1:pos:R:3 pbc="T T T"
Re -3.8735 2.4840 3.7976
Re -1.9990 1.2820 1.9599
Al -4.6488 1.3102 1.5067
Ta -2.6913 0.0548 -0.4125
```